[1]
Below is a relaxed USbTe4 crystal, with properties calculated at the PBE level.

a = 7.5340 Å, b = 4.3529 Å, c = 7.5563 Å
α = 90.00°, β = 108.04°, γ = 90.00°
Space group P2/m (No. 10)
Unique sites:
U: 0.0000 0.0000 0.0000
Sb: 0.0000 0.5000 0.5000
Te: 0.2392 0.5000 0.2334
Te: 0.2397 0.0000 0.7544

Output
ΔE to the lowest computed polymorph in eV per atom: 0.003

=====

[2]
Below is a relaxed U2SbTe crystal, with properties calculated at the PBE level.

a = 4.5336 Å, b = 4.5336 Å, c = 19.8321 Å
α = 90.00°, β = 90.00°, γ = 120.00°
Space group R-3m (No. 166, hexagonal axes)
Unique sites:
U: 0.0000 0.0000 0.2495
Sb: 0.0000 0.0000 0.5000
Te: 0.0000 0.0000 0.0000

Output
ΔE to the lowest computed polymorph in eV per atom: 0.018

=====

[3]
Below is a relaxed USb2Te crystal, with properties calculated at the PBE level.

a = 4.0887 Å, b = 10.6790 Å, c = 10.7573 Å
α = 90.00°, β = 90.00°, γ = 90.00°
Space group Cmcm (No. 63)
Unique sites:
U: 0.0000 0.2500 0.2500
Sb: 0.0000 0.1540 0.5339
Te: 0.0000 0.4632 0.7500

=====

[4]
Below is a relaxed U2SbTe crystal, with properties calculated at the PBE level.

a = 3.7363 Å, b = 3.7363 Å, c = 7.4925 Å
α = 90.00°, β = 90.00°, γ = 90.00°
Space group P4/mmm (No. 123)
Unique sites:
U: 0.0000 0.0000 0.2437
Sb: 0.5000 0.5000 0.0000
Te: 0.5000 0.5000 0.5000

Output
ΔE to the lowest computed polymorph in eV per atom: 0.001

=====

[5]
Below is a relaxed U2SbTe crystal, with properties calculated at the PBE level.

a = 4.0755 Å, b = 4.0755 Å, c = 24.4650 Å
α = 90.00°, β = 90.00°, γ = 120.00°
Space group R3m (No. 160, hexagonal axes)
Unique sites:
U: 0.0000 0.0000 0.0000
U: 0.0000 0.0000 0.1716
Sb: 0.0000 0.0000 0.5853
Te: 0.0000 0.0000 0.7532

Output
ΔE to the lowest computed polymorph in eV per atom: 0.071

=====

[6]
Below is a relaxed USbTe crystal, with properties calculated at the PBE level.

a = 5.4748 Å, b = 5.4748 Å, c = 3.0581 Å
α = 90.00°, β = 90.00°, γ = 120.00°
Space group P-6m2 (No. 187)
Unique sites:
U: 0.0000 0.0000 0.0000
Sb: 0.6667 0.3333 0.5000
Te: 0.3333 0.6667 0.0000

=====

[7]
Below is a relaxed USbTe crystal, with properties calculated at the PBE level.

a = 4.3310 Å, b = 4.3310 Å, c = 17.9731 Å
α = 90.00°, β = 90.00°, γ = 90.00°
Space group I4/mmm (No. 139)
Unique sites:
U: 0.0000 0.0000 0.1333
Sb: 0.0000 0.5000 0.0000
Te: 0.0000 0.0000 0.3141

=====

[8]
Below is a relaxed USbTe4 crystal, with properties calculated at the PBE level.

a = 15.7751 Å, b = 4.3515 Å, c = 7.5543 Å
α = 90.00°, β = 118.15°, γ = 90.00°
Space group C2/m (No. 12)
Unique sites:
U: 0.0000 0.0000 0.0000
Sb: 0.0000 0.5000 0.5000
Te: 0.1231 0.5000 0.2803
Te: 0.1240 0.0000 0.8031

Output
ΔE to the lowest computed polymorph in eV per atom: 0.000

=====

Looking at VASP energy for the records above, in order, we have -4.994 -7.773 -5.942 -7.791 -7.720 -6.255 -6.704 -4.997 eV per atom.
Looking at calculated density for the records above, in order, we have 6132 10237 8614 11517 10269 10195 9603 6320 kg/m3.
Looking at formation energy from raw total energies for the records above, in order, we have -0.331 -0.313 -0.274 -0.331 -0.260 -0.070 -0.520 -0.334 eV per atom.